Entry 1:
# Y2Mg2Co15 (PBE-GGA, relaxed)
# Theoretical density   7.349 g/cm³
# VASP energy   -6.53 eV/atom
# Density of states at the Fermi level   1.161 states/eV/atom
data_Y2Mg2Co15
_cell_length_a 6.347
_cell_length_b 6.347
_cell_length_c 6.347
_cell_angle_alpha 83.32
_cell_angle_beta 83.32
_cell_angle_gamma 83.32
_symmetry_space_group_name_H-M 'P 1'
_symmetry_Int_Tables_number 1
loop_
_symmetry_equiv_pos_as_xyz
'x,y,z'
loop_
_atom_site_label
_atom_site_type_symbol
_atom_site_fract_x
_atom_site_fract_y
_atom_site_fract_z
_atom_site_occupancy
Co1 Co 0.708 0.000 0.292 1
Co2 Co 0.352 0.843 0.352 1
Co3 Co 0.843 0.352 0.352 1
Co4 Co 0.500 0.000 0.000 1
Co5 Co 0.648 0.648 0.157 1
Co6 Co 0.000 0.708 0.292 1
Co7 Co 0.292 0.708 0.000 1
Co8 Co 0.648 0.157 0.648 1
Co9 Co 0.708 0.292 0.000 1
Co10 Co 0.000 0.000 0.500 1
Co11 Co 0.157 0.648 0.648 1
Co12 Co 0.000 0.292 0.708 1
Co13 Co 0.000 0.500 0.000 1
Co14 Co 0.292 0.000 0.708 1
Co15 Co 0.352 0.352 0.843 1
Mg1 Mg 0.106 0.106 0.106 1
Mg2 Mg 0.894 0.894 0.894 1
Y1 Y 0.648 0.648 0.648 1
Y2 Y 0.352 0.352 0.352 1

Entry 2:
# Ac2Sm3DyY6 (PBE-GGA, relaxed)
# Theoretical density   6.458 g/cm³
# VASP energy   -5.45 eV/atom
# Density of states at the Fermi level   1.210 states/eV/atom
data_Ac2Sm3DyY6
_cell_length_a 6.350
_cell_length_b 6.350
_cell_length_c 11.975
_cell_angle_alpha 95.06
_cell_angle_beta 95.06
_cell_angle_gamma 119.98
_symmetry_space_group_name_H-M 'P 1'
_symmetry_Int_Tables_number 1
loop_
_symmetry_equiv_pos_as_xyz
'x,y,z'
loop_
_atom_site_label
_atom_site_type_symbol
_atom_site_fract_x
_atom_site_fract_y
_atom_site_fract_z
_atom_site_occupancy
Ac1 Ac 0.667 0.333 0.000 1
Ac2 Ac 0.333 0.667 0.000 1
Y1 Y 0.754 0.754 0.255 1
Y2 Y 0.415 0.085 0.255 1
Y3 Y 0.915 0.585 0.745 1
Y4 Y 0.585 0.915 0.745 1
Y5 Y 0.246 0.246 0.745 1
Y6 Y 0.085 0.415 0.255 1
Sm1 Sm 0.167 0.833 0.500 1
Sm2 Sm 0.833 0.167 0.500 1
Sm3 Sm 0.500 0.500 0.500 1
Dy1 Dy 0.000 0.000 0.000 1

Entry 3:
# AcYCoRh (PBE-GGA, relaxed)
# Theoretical density   8.872 g/cm³
# VASP energy   -6.52 eV/atom
# Density of states at the Fermi level   0.715 states/eV/atom
data_AcYCoRh
_cell_length_a 5.019
_cell_length_b 5.019
_cell_length_c 5.019
_cell_angle_alpha 60.00
_cell_angle_beta 60.00
_cell_angle_gamma 60.00
_symmetry_space_group_name_H-M 'P 1'
_symmetry_Int_Tables_number 1
loop_
_symmetry_equiv_pos_as_xyz
'x,y,z'
loop_
_atom_site_label
_atom_site_type_symbol
_atom_site_fract_x
_atom_site_fract_y
_atom_site_fract_z
_atom_site_occupancy
Ac1 Ac 0.250 0.250 0.250 1
Y1 Y 0.750 0.750 0.750 1
Co1 Co 0.000 0.000 0.000 1
Rh1 Rh 0.500 0.500 0.500 1

Entry 4:
# SmDy2Y4 (PBE-GGA, relaxed)
# Theoretical density   6.082 g/cm³
# VASP energy   -5.65 eV/atom
# Density of states at the Fermi level   1.600 states/eV/atom
# Energy above the lowest structure with this stoichiometry   22 meV per atom
data_SmDy2Y4
_cell_length_a 3.553
_cell_length_b 9.459
_cell_length_c 8.554
_cell_angle_alpha 121.63
_cell_angle_beta 78.04
_cell_angle_gamma 112.02
_symmetry_space_group_name_H-M 'P 1'
_symmetry_Int_Tables_number 1
loop_
_symmetry_equiv_pos_as_xyz
'x,y,z'
loop_
_atom_site_label
_atom_site_type_symbol
_atom_site_fract_x
_atom_site_fract_y
_atom_site_fract_z
_atom_site_occupancy
Y1 Y 0.192 0.834 0.283 1
Y2 Y 0.410 0.706 0.590 1
Y3 Y 0.808 0.166 0.717 1
Y4 Y 0.590 0.294 0.410 1
Dy1 Dy 0.360 0.430 0.140 1
Dy2 Dy 0.640 0.570 0.860 1
Sm1 Sm 0.000 0.000 0.000 1

Entry 5:
# Ca2Mg12Cd3In (PBE-GGA, relaxed)
# Theoretical density   2.797 g/cm³
# VASP energy   -1.52 eV/atom
# Density of states at the Fermi level   0.676 states/eV/atom
data_Ca2Mg12Cd3In
_cell_length_a 15.057
_cell_length_b 15.057
_cell_length_c 15.057
_cell_angle_alpha 23.82
_cell_angle_beta 23.82
_cell_angle_gamma 23.82
_symmetry_space_group_name_H-M 'P 1'
_symmetry_Int_Tables_number 1
loop_
_symmetry_equiv_pos_as_xyz
'x,y,z'
loop_
_atom_site_label
_atom_site_type_symbol
_atom_site_fract_x
_atom_site_fract_y
_atom_site_fract_z
_atom_site_occupancy
Cd1 Cd 0.000 0.500 0.000 1
Cd2 Cd 0.500 0.000 0.000 1
Cd3 Cd 0.000 0.000 0.500 1
Mg1 Mg 0.114 0.114 0.608 1
Mg2 Mg 0.606 0.606 0.121 1
Mg3 Mg 0.606 0.121 0.606 1
Mg4 Mg 0.392 0.886 0.886 1
Mg5 Mg 0.121 0.606 0.606 1
Mg6 Mg 0.394 0.394 0.879 1
Mg7 Mg 0.394 0.879 0.394 1
Mg8 Mg 0.879 0.394 0.394 1
Mg9 Mg 0.114 0.608 0.114 1
Mg10 Mg 0.886 0.392 0.886 1
Mg11 Mg 0.886 0.886 0.392 1
Mg12 Mg 0.608 0.114 0.114 1
Ca1 Ca 0.352 0.352 0.352 1
Ca2 Ca 0.648 0.648 0.648 1
In1 In 0.000 0.000 0.000 1

Entry 6:
# TaTl4Cu (PBE-GGA, relaxed)
# Theoretical density   11.041 g/cm³
# VASP energy   -3.11 eV/atom
# Density of states at the Fermi level   0.721 states/eV/atom
data_TaTl4Cu
_cell_length_a 6.090
_cell_length_b 6.090
_cell_length_c 6.090
_cell_angle_alpha 60.00
_cell_angle_beta 60.00
_cell_angle_gamma 60.00
_symmetry_space_group_name_H-M 'P 1'
_symmetry_Int_Tables_number 1
loop_
_symmetry_equiv_pos_as_xyz
'x,y,z'
loop_
_atom_site_label
_atom_site_type_symbol
_atom_site_fract_x
_atom_site_fract_y
_atom_site_fract_z
_atom_site_occupancy
Tl1 Tl 0.375 0.375 0.875 1
Tl2 Tl 0.375 0.375 0.375 1
Tl3 Tl 0.375 0.875 0.375 1
Tl4 Tl 0.875 0.375 0.375 1
Cu1 Cu 0.750 0.750 0.750 1
Ta1 Ta 0.000 0.000 0.000 1

Entry 7:
# KCo2Cu (PBE-GGA, relaxed)
# Theoretical density   4.889 g/cm³
# VASP energy   -4.25 eV/atom
# Density of states at the Fermi level   0.947 states/eV/atom
# Energy above the lowest structure with this stoichiometry   78 meV per atom
data_KCo2Cu
_cell_length_a 4.189
_cell_length_b 4.189
_cell_length_c 7.010
_cell_angle_alpha 85.25
_cell_angle_beta 85.25
_cell_angle_gamma 37.67
_symmetry_space_group_name_H-M 'P 1'
_symmetry_Int_Tables_number 1
loop_
_symmetry_equiv_pos_as_xyz
'x,y,z'
loop_
_atom_site_label
_atom_site_type_symbol
_atom_site_fract_x
_atom_site_fract_y
_atom_site_fract_z
_atom_site_occupancy
Co1 Co 0.248 0.248 0.225 1
Co2 Co 0.980 0.980 0.118 1
Cu1 Cu 0.520 0.520 0.402 1
K1 K 0.752 0.752 0.756 1

Values of formation enthalpy at 0 K, in order: -1.56 0.72 -5.94 0.68 1.60 26.01 13.98, all in kcal/mol of atoms.